Run one
The following is a GGA-PBE calculation of an optimized crystal structure of LaPaN, from Alexandria.

Summary:
* symmetry: No. 156
* crystal system: trigonal
* N(E_F): 5.1 states/eV/f.u.

a b c (Å): 6.262 3.552 3.552
angles (deg): 120.00 90.00 90.00
Sites, in units of the cell vectors:
La1 0.755 0.667 0.333
N1 0.031 0.000 0.000
Pa1 0.214 0.333 0.667

Run two
The following is a GGA-PBE calculation of an optimized crystal structure of LaPaN, from Alexandria.

Summary:
* symmetry: No. 107
* crystal system: tetragonal
* N(E_F): 6.0 states/eV/f.u.

a b c (Å): 4.743 4.743 5.276
angles (deg): 116.71 116.71 90.00
Sites, in units of the cell vectors:
N1 0.629 0.629 0.258
Pa1 0.866 0.866 0.733
La1 0.355 0.355 0.709

Relative energies, unit meV/atom: run one 0; run two 1076

Run one
The following is a GGA-PBE calculation of an optimized crystal structure of LaPa4N8, from Alexandria.

Summary:
* symmetry: No. 12
* crystal system: monoclinic
* N(E_F): 8.0 states/eV/f.u.

a b c (Å): 3.730 8.786 6.744
angles (deg): 74.45 73.94 77.74
Sites, in units of the cell vectors:
N1 0.546 0.730 0.178
N2 0.925 0.656 0.495
N3 0.170 0.999 0.661
N4 0.107 0.347 0.439
N5 0.486 0.273 0.756
N6 0.735 0.410 0.121
N7 0.862 0.004 0.273
N8 0.297 0.594 0.813
Pa1 0.682 0.201 0.436
Pa2 0.901 0.435 0.763
Pa3 0.130 0.569 0.171
Pa4 0.350 0.803 0.498
La1 0.516 0.002 0.967

Run two
The following is a GGA-PBE calculation of an optimized crystal structure of LaPa4N8, from Alexandria.

Summary:
* symmetry: No. 166
* crystal system: trigonal
* N(E_F): 13.6 states/eV/f.u.

a b c (Å): 7.010 7.010 7.010
angles (deg): 61.66 61.66 61.66
Sites, in units of the cell vectors:
La1 0.000 0.000 0.000
Pa1 0.500 0.000 0.500
Pa2 0.500 0.500 0.000
Pa3 0.500 0.500 0.500
Pa4 0.000 0.500 0.500
N1 0.278 0.278 0.278
N2 0.266 0.686 0.266
N3 0.314 0.734 0.734
N4 0.266 0.266 0.686
N5 0.734 0.734 0.314
N6 0.686 0.266 0.266
N7 0.722 0.722 0.722
N8 0.734 0.314 0.734

Relative energies, unit meV/atom: run one 0; run two 299

Run one
The following is a GGA-PBE calculation of an optimized crystal structure of La2PaN4, from Alexandria.

Summary:
* symmetry: No. 55
* crystal system: orthorhombic
* N(E_F): 5.0 states/eV/f.u.

a b c (Å): 3.663 6.128 10.453
angles (deg): 90.00 90.00 90.00
Sites, in units of the cell vectors:
N1 0.500 0.231 0.461
N2 0.000 0.353 0.190
N3 0.500 0.731 0.039
N4 0.500 0.769 0.539
N5 0.000 0.147 0.690
N6 0.500 0.269 0.961
N7 0.000 0.647 0.810
N8 0.000 0.853 0.310
Pa1 0.000 0.000 0.500
Pa2 0.000 0.500 0.000
La1 0.500 0.445 0.675
La2 0.500 0.945 0.825
La3 0.500 0.555 0.325
La4 0.500 0.055 0.175

Run two
The following is a GGA-PBE calculation of an optimized crystal structure of La2PaN4, from Alexandria.

Summary:
* symmetry: No. 65
* crystal system: orthorhombic
* N(E_F): 7.7 states/eV/f.u.

a b c (Å): 3.701 6.232 6.232
angles (deg): 104.57 90.00 90.00
Sites, in units of the cell vectors:
La1 0.500 0.500 0.000
La2 0.500 0.000 0.500
N1 0.500 0.815 0.815
N2 0.000 0.780 0.220
N3 0.000 0.220 0.780
N4 0.500 0.185 0.185
Pa1 0.000 0.000 0.000

Relative energies, unit meV/atom: run one 0; run two 178

Run one
The following is a GGA-PBE calculation of an optimized crystal structure of La4Pb2N, from Alexandria.

Summary:
* symmetry: No. 139
* crystal system: tetragonal
* N(E_F): 5.3 states/eV/f.u.

a b c (Å): 5.041 5.041 9.244
angles (deg): 74.18 74.18 90.00
Sites, in units of the cell vectors:
Pb1 0.358 0.358 0.284
Pb2 0.642 0.642 0.716
La1 0.500 0.000 0.000
La2 0.162 0.162 0.677
La3 0.000 0.500 0.000
La4 0.838 0.838 0.323
N1 0.000 0.000 0.000

Run two
The following is a GGA-PBE calculation of an optimized crystal structure of La4Pb2N, from Alexandria.

Summary:
* symmetry: No. 11
* crystal system: monoclinic
* N(E_F): 4.2 states/eV/f.u.

a b c (Å): 6.894 7.107 9.865
angles (deg): 90.00 111.11 90.00
Sites, in units of the cell vectors:
Pb1 0.692 0.750 0.033
Pb2 0.171 0.250 0.408
Pb3 0.308 0.250 0.967
Pb4 0.829 0.750 0.592
La1 0.137 0.750 0.955
La2 0.479 0.503 0.719
La3 0.927 0.250 0.657
La4 0.073 0.750 0.343
La5 0.521 0.497 0.281
La6 0.863 0.250 0.045
La7 0.521 0.003 0.281
La8 0.479 0.997 0.719
N1 0.702 0.250 0.789
N2 0.298 0.750 0.211

Relative energies, unit meV/atom: run one 6; run two 0

Run one
The following is a GGA-PBE calculation of an optimized crystal structure of La6Pb2N, from Alexandria.

Summary:
* symmetry: No. 38
* crystal system: orthorhombic
* N(E_F): 9.7 states/eV/f.u.

a b c (Å): 3.744 9.132 9.012
angles (deg): 120.44 90.00 90.00
Sites, in units of the cell vectors:
La1 0.500 0.563 0.000
La2 0.000 0.251 0.000
La3 0.500 0.000 0.635
La4 0.000 0.788 0.807
La5 0.500 0.365 0.365
La6 0.000 0.981 0.193
N1 0.500 0.063 0.000
Pb1 0.000 0.674 0.359
Pb2 0.000 0.315 0.641

Run two
The following is a GGA-PBE calculation of an optimized crystal structure of La6Pb2N, from Alexandria.

Summary:
* symmetry: No. 225
* crystal system: cubic
* N(E_F): 12.0 states/eV/f.u.

a b c (Å): 7.282 7.282 7.283
angles (deg): 60.00 60.00 60.00
Sites, in units of the cell vectors:
Pb1 0.250 0.250 0.250
Pb2 0.750 0.750 0.750
La1 0.256 0.256 0.743
La2 0.744 0.256 0.256
La3 0.744 0.744 0.257
La4 0.256 0.744 0.744
La5 0.256 0.744 0.256
La6 0.744 0.256 0.744
N1 0.500 0.500 0.500

Relative energies, unit meV/atom: run one 189; run two 0

Run one
The following is a GGA-PBE calculation of an optimized crystal structure of LaPbN, from Alexandria.

Summary:
* symmetry: No. 71
* crystal system: orthorhombic
* N(E_F): 2.0 states/eV/f.u.

a b c (Å): 3.903 5.552 8.657
angles (deg): 108.70 103.03 90.00
Sites, in units of the cell vectors:
Pb1 0.500 0.253 0.000
Pb2 0.500 0.747 0.000
La1 0.199 0.699 0.399
La2 0.801 0.301 0.601
N1 0.227 0.227 0.454
N2 0.773 0.773 0.546

Run two
The following is a GGA-PBE calculation of an optimized crystal structure of LaPbN, from Alexandria.

Summary:
* symmetry: No. 11
* crystal system: monoclinic
* N(E_F): 0.7 states/eV/f.u.

a b c (Å): 4.251 7.412 5.806
angles (deg): 113.76 90.00 90.00
Sites, in units of the cell vectors:
N1 0.250 0.849 0.394
N2 0.750 0.151 0.606
Pb1 0.750 0.343 0.025
Pb2 0.250 0.657 0.975
La1 0.250 0.174 0.439
La2 0.750 0.826 0.561

Relative energies, unit meV/atom: run one 300; run two 0